# ErLuGePd

A geometry-optimized ErLuGePd structure (GGA-PBE, Alexandria via LeMat-Bulk).

Output
M_tot in μB/atom: 0.000
ρ in Mg/m³: 10.16
Raw total energy in eV per atom: -5.55

Unit cell a=6.986 b=6.986 c=6.986 alpha=90.00 beta=90.00 gamma=90.00
Space group F-43m (No. 216)
Inequivalent atoms, fractional coordinates:
Er: 0.000 0.000 0.000
Lu: 0.000 0.000 0.500
Ge: 0.250 0.250 0.750
Pd: 0.250 0.250 0.250

***

# ScInTe2

A geometry-optimized ScInTe2 structure (GGA-PBE, Alexandria via LeMat-Bulk).

Output
M_tot in μB/atom: 0.000
ρ in Mg/m³: 5.93
E_form (uncorrected) in eV/atom: -0.668
Raw total energy in eV per atom: -4.51

Unit cell a=4.336 b=4.336 c=6.181 alpha=90.00 beta=90.00 gamma=90.00
Space group P4/mmm (No. 123)
Inequivalent atoms, fractional coordinates:
Sc: 0.000 0.000 0.000
In: 0.500 0.500 0.500
Te: 0.000 0.000 0.500
Te: 0.500 0.500 0.000

***

# DyHIr3

A geometry-optimized DyHIr3 structure (GGA-PBE, Alexandria via LeMat-Bulk).

Output
M_tot in μB/atom: 0.000
ρ in Mg/m³: 17.88
Raw total energy in eV per atom: -7.26

Unit cell a=4.096 b=4.096 c=4.096 alpha=90.00 beta=90.00 gamma=90.00
Space group Pm-3m (No. 221)
Inequivalent atoms, fractional coordinates:
Dy: 0.000 0.000 0.000
H: 0.500 0.500 0.500
Ir: 0.000 0.500 0.500

***

# Nd3Dy2Sb3

A geometry-optimized Nd3Dy2Sb3 structure (GGA-PBE, Alexandria via LeMat-Bulk).

Output
M_tot in μB/atom: 0.001
ρ in Mg/m³: 7.63
E_form (uncorrected) in eV/atom: -0.822
Raw total energy in eV per atom: -5.31

Unit cell a=4.526 b=13.846 c=15.608 alpha=90.00 beta=90.00 gamma=90.00
Space group Cmcm (No. 63)
Inequivalent atoms, fractional coordinates:
Nd: 0.000 0.049 0.117
Nd: 0.000 0.354 0.250
Dy: 0.000 0.232 0.593
Sb: 0.000 0.371 0.750
Sb: 0.000 0.396 0.039

***

# ScRe2Ru2

A geometry-optimized ScRe2Ru2 structure (GGA-PBE, Alexandria via LeMat-Bulk).

Output
M_tot in μB/atom: 0.035
ρ in Mg/m³: 12.72
Raw total energy in eV per atom: -9.97
Polymorph energy (0 for the lowest one) in kJ/mol of atoms: 0.0

Unit cell a=7.633 b=7.633 c=2.775 alpha=90.00 beta=90.00 gamma=90.00
Space group P4/mbm (No. 127)
Inequivalent atoms, fractional coordinates:
Sc: 0.000 0.000 0.000
Re: 0.121 0.379 0.000
Ru: 0.171 0.671 0.500

***

# CdBF3

A geometry-optimized CdBF3 structure (GGA-PBE, Alexandria via LeMat-Bulk).

Output
M_tot in μB/atom: 0.000
ρ in Mg/m³: 3.51
E_form (uncorrected) in eV/atom: -0.688
Raw total energy in eV per atom: -3.33
Polymorph energy (0 for the lowest one) in kJ/mol of atoms: 10.0

Unit cell a=4.403 b=4.403 c=4.403 alpha=90.00 beta=90.00 gamma=90.00
Space group Pm-3m (No. 221)
Inequivalent atoms, fractional coordinates:
Cd: 0.000 0.000 0.000
B: 0.500 0.500 0.500
F: 0.000 0.000 0.500

***

# GdNpIr4

A geometry-optimized GdNpIr4 structure (GGA-PBE, Alexandria via LeMat-Bulk).

Output
M_tot in μB/atom: 0.588
ρ in Mg/m³: 17.72
Raw total energy in eV per atom: -10.99

Unit cell a=7.583 b=7.583 c=7.583 alpha=90.00 beta=90.00 gamma=90.00
Space group F-43m (No. 216)
Inequivalent atoms, fractional coordinates:
Gd: 0.000 0.000 0.000
Np: 0.250 0.250 0.250
Ir: 0.125 0.125 0.625

***

# RbEr3Te4O12

A geometry-optimized RbEr3Te4O12 structure (GGA-PBE, Alexandria via LeMat-Bulk).

Output
M_tot in μB/atom: 0.000
ρ in Mg/m³: 6.06
E_form (uncorrected) in eV/atom: -1.808
Raw total energy in eV per atom: -6.14

Unit cell a=11.5314 b=11.5314 c=9.2001 alpha=90.00 beta=90.00 gamma=120.00
Space group R32 (No. 155, hexagonal axes)
Inequivalent atoms, fractional coordinates:
Rb: 0.0000 0.0000 0.0000
Er: 0.0000 0.5750 0.0000
Te: 0.0000 0.0000 0.5000
Te: 0.0000 0.4068 0.5000
O: 0.0000 0.5750 0.5000
O: 0.0000 0.8221 0.5000
O: 0.0402 0.1894 0.2510

***

# Ta4VW

A geometry-optimized Ta4VW structure (GGA-PBE, Alexandria via LeMat-Bulk).

Output
M_tot in μB/atom: 0.000
ρ in Mg/m³: 14.91
Raw total energy in eV per atom: -11.27
Polymorph energy (0 for the lowest one) in kJ/mol of atoms: 0.0

Unit cell a=5.545 b=14.564 c=5.287 alpha=90.00 beta=90.00 gamma=90.00
Space group Cmcm (No. 63)
Inequivalent atoms, fractional coordinates:
Ta: 0.000 0.247 0.001
Ta: 0.249 0.081 0.750
V: 0.000 0.079 0.250
W: 0.000 0.416 0.750

***

# Nd3Ho2Th

A geometry-optimized Nd3Ho2Th structure (GGA-PBE, Alexandria via LeMat-Bulk).

Output
M_tot in μB/atom: 0.000
ρ in Mg/m³: 8.19
Raw total energy in eV per atom: -5.10
Polymorph energy (0 for the lowest one) in kJ/mol of atoms: 0.0

Unit cell a=22.170 b=3.637 c=11.750 alpha=90.00 beta=121.61 gamma=90.00
Space group C2/m (No. 12)
Inequivalent atoms, fractional coordinates:
Nd: 0.057 0.000 0.426
Nd: 0.113 0.500 0.740
Nd: 0.230 0.500 0.610
Ho: 0.055 0.000 0.932
Ho: 0.220 0.500 0.091
Th: 0.109 0.500 0.228

***

# Sb4MoPb

A geometry-optimized Sb4MoPb structure (GGA-PBE, Alexandria via LeMat-Bulk).

Output
M_tot in μB/atom: 0.714
ρ in Mg/m³: 7.67
E_form (uncorrected) in eV/atom: 0.802
Raw total energy in eV per atom: -4.37

Unit cell a=8.813 b=8.813 c=8.813 alpha=90.00 beta=90.00 gamma=90.00
Space group F-43m (No. 216)
Inequivalent atoms, fractional coordinates:
Sb: 0.124 0.124 0.124
Mo: 0.250 0.250 0.750
Pb: 0.000 0.000 0.500

***

# K2CaAgTe

A geometry-optimized K2CaAgTe structure (GGA-PBE, Alexandria via LeMat-Bulk).

Output
M_tot in μB/atom: 0.000
ρ in Mg/m³: 2.34
E_form (uncorrected) in eV/atom: 0.264
Raw total energy in eV per atom: -1.77

Unit cell a=6.821 b=6.821 c=5.406 alpha=90.00 beta=90.00 gamma=90.00
Space group P4/mmm (No. 123)
Inequivalent atoms, fractional coordinates:
K: 0.000 0.500 0.000
Ca: 0.000 0.000 0.000
Ag: 0.000 0.000 0.500
Te: 0.500 0.500 0.500

***

# Pr4GaSI2

A geometry-optimized Pr4GaSI2 structure (GGA-PBE, Alexandria via LeMat-Bulk).

Output
M_tot in μB/atom: 0.000
ρ in Mg/m³: 6.16
E_form (uncorrected) in eV/atom: -1.162
Raw total energy in eV per atom: -4.83

Unit cell a=7.331 b=4.324 c=8.228 alpha=90.00 beta=108.13 gamma=90.00
Space group P2/m (No. 10)
Inequivalent atoms, fractional coordinates:
Pr: 0.225 0.000 0.193
Pr: 0.259 0.500 0.800
Ga: 0.500 0.000 0.000
S: 0.000 0.500 0.000
I: 0.000 0.000 0.500
I: 0.500 0.500 0.500

***

# K2CeReO6

A geometry-optimized K2CeReO6 structure (GGA-PBE, Alexandria via LeMat-Bulk).

Output
M_tot in μB/atom: 0.069
ρ in Mg/m³: 5.34
E_form (uncorrected) in eV/atom: -2.217
Raw total energy in eV per atom: -7.25

Unit cell a=5.924 b=5.924 c=4.438 alpha=90.00 beta=90.00 gamma=90.00
Space group P4mm (No. 99)
Inequivalent atoms, fractional coordinates:
K: 0.000 0.500 0.000
Ce: 0.000 0.000 0.531
Re: 0.500 0.500 0.452
O: 0.000 0.000 0.032
O: 0.278 0.278 0.540
O: 0.500 0.500 0.056

***

# Ac2PmErAs4

A geometry-optimized Ac2PmErAs4 structure (GGA-PBE, Alexandria via LeMat-Bulk).

Output
M_tot in μB/atom: 0.000
ρ in Mg/m³: 7.56
Raw total energy in eV per atom: -5.98

Unit cell a=7.543 b=4.359 c=7.553 alpha=90.00 beta=109.43 gamma=90.00
Space group P2/m (No. 10)
Inequivalent atoms, fractional coordinates:
Ac: 0.000 0.000 0.000
Ac: 0.500 0.500 0.000
Pm: 0.000 0.500 0.500
Er: 0.500 0.000 0.500
As: 0.248 0.000 0.731
As: 0.261 0.500 0.272

***

# Ta8Mo6W

A geometry-optimized Ta8Mo6W structure (GGA-PBE, Alexandria via LeMat-Bulk).

Output
M_tot in μB/atom: 0.000
ρ in Mg/m³: 13.88
Raw total energy in eV per atom: -11.39

Unit cell a=7.3556 b=7.3556 c=16.9025 alpha=90.00 beta=90.00 gamma=120.00
Space group R-3 (No. 148, hexagonal axes)
Inequivalent atoms, fractional coordinates:
Ta: 0.0000 0.0000 0.0824
Ta: 0.0391 0.2591 0.6278
Mo: 0.0057 0.7577 0.2074
W: 0.0000 0.0000 0.5000

***

# Cr2CoRh2

A geometry-optimized Cr2CoRh2 structure (GGA-PBE, Alexandria via LeMat-Bulk).

Output
M_tot in μB/atom: 0.000
ρ in Mg/m³: 9.20
Raw total energy in eV per atom: -7.92
Polymorph energy (0 for the lowest one) in kJ/mol of atoms: 0.8

Unit cell a=7.048 b=7.048 c=2.680 alpha=90.00 beta=90.00 gamma=90.00
Space group P4/mbm (No. 127)
Inequivalent atoms, fractional coordinates:
Cr: 0.168 0.332 0.000
Co: 0.000 0.000 0.500
Rh: 0.132 0.632 0.500

***

# AgPt2Br

A geometry-optimized AgPt2Br structure (GGA-PBE, Alexandria via LeMat-Bulk).

Output
M_tot in μB/atom: 0.000
ρ in Mg/m³: 11.77
E_form (uncorrected) in eV/atom: 0.400
Raw total energy in eV per atom: -3.75
Polymorph energy (0 for the lowest one) in kJ/mol of atoms: 19.2

Unit cell a=2.815 b=4.745 c=12.209 alpha=90.00 beta=90.00 gamma=90.00
Space group Cmmm (No. 65)
Inequivalent atoms, fractional coordinates:
Ag: 0.000 0.000 0.000
Pt: 0.000 0.500 0.202
Br: 0.000 0.000 0.500

***

# CoNiIr2

A geometry-optimized CoNiIr2 structure (GGA-PBE, Alexandria via LeMat-Bulk).

Output
M_tot in μB/atom: 0.289
ρ in Mg/m³: 16.35
Raw total energy in eV per atom: -7.60
Polymorph energy (0 for the lowest one) in kJ/mol of atoms: 4.6

Unit cell a=3.753 b=3.753 c=7.238 alpha=90.00 beta=90.00 gamma=90.00
Space group I4/mmm (No. 139)
Inequivalent atoms, fractional coordinates:
Co: 0.000 0.000 0.000
Ni: 0.000 0.000 0.500
Ir: 0.000 0.500 0.250

***

# Li2TaCl

A geometry-optimized Li2TaCl structure (GGA-PBE, Alexandria via LeMat-Bulk).

Output
M_tot in μB/atom: 0.160
ρ in Mg/m³: 6.06
E_form (uncorrected) in eV/atom: 0.471
Raw total energy in eV per atom: -3.91
Polymorph energy (0 for the lowest one) in kJ/mol of atoms: 82.0

Unit cell a=3.703 b=3.703 c=9.211 alpha=90.00 beta=90.00 gamma=90.00
Space group I-4m2 (No. 119)
Inequivalent atoms, fractional coordinates:
Li: 0.000 0.000 0.000
Li: 0.000 0.500 0.250
Ta: 0.000 0.500 0.750
Cl: 0.000 0.000 0.500

***

# Tc2PbW

A geometry-optimized Tc2PbW structure (GGA-PBE, Alexandria via LeMat-Bulk).

Output
M_tot in μB/atom: 0.000
ρ in Mg/m³: 13.43
Raw total energy in eV per atom: -8.86

Unit cell a=3.0643 b=3.0643 c=26.7740 alpha=90.00 beta=90.00 gamma=120.00
Space group R-3m (No. 166, hexagonal axes)
Inequivalent atoms, fractional coordinates:
Tc: 0.0000 0.0000 0.2385
Pb: 0.0000 0.0000 0.0000
W: 0.0000 0.0000 0.5000

***

# La3Cu4Ni2

A geometry-optimized La3Cu4Ni2 structure (GGA-PBE, Alexandria via LeMat-Bulk).

Output
M_tot in μB/atom: 0.000
ρ in Mg/m³: 7.15
Raw total energy in eV per atom: -5.01

Unit cell a=10.825 b=4.210 c=8.394 alpha=90.00 beta=106.77 gamma=90.00
Space group C2/m (No. 12)
Inequivalent atoms, fractional coordinates:
La: 0.000 0.000 0.000
La: 0.173 0.500 0.661
Cu: 0.050 0.000 0.384
Cu: 0.221 0.500 0.058
Ni: 0.108 0.500 0.274

***

# AgRh

A geometry-optimized AgRh structure (GGA-PBE, Alexandria via LeMat-Bulk).

Output
M_tot in μB/atom: 0.495
ρ in Mg/m³: 10.90
Raw total energy in eV per atom: -4.78

Unit cell a=4.812 b=4.656 c=5.735 alpha=90.00 beta=90.00 gamma=90.00
Space group Pnma (No. 62)
Inequivalent atoms, fractional coordinates:
Ag: 0.080 0.250 0.126
Rh: 0.069 0.250 0.628

***

# ThPaTl

A geometry-optimized ThPaTl structure (GGA-PBE, Alexandria via LeMat-Bulk).

Output
M_tot in μB/atom: 0.147
ρ in Mg/m³: 12.85
Raw total energy in eV per atom: -6.19
Polymorph energy (0 for the lowest one) in kJ/mol of atoms: 2.9

Unit cell a=4.142 b=4.142 c=10.055 alpha=90.00 beta=90.00 gamma=90.00
Space group I4mm (No. 107)
Inequivalent atoms, fractional coordinates:
Th: 0.000 0.000 0.000
Pa: 0.000 0.000 0.309
Tl: 0.000 0.000 0.656

***

# Li2AgHPd

A geometry-optimized Li2AgHPd structure (GGA-PBE, Alexandria via LeMat-Bulk).

Output
M_tot in μB/atom: 0.000
ρ in Mg/m³: 6.11
Raw total energy in eV per atom: -3.27
Polymorph energy (0 for the lowest one) in kJ/mol of atoms: 12.2

Unit cell a=4.041 b=4.041 c=3.812 alpha=90.00 beta=90.00 gamma=90.00
Space group P4/mmm (No. 123)
Inequivalent atoms, fractional coordinates:
Li: 0.000 0.500 0.000
Ag: 0.000 0.000 0.500
H: 0.000 0.000 0.000
Pd: 0.500 0.500 0.500